Record 1
A relaxed structure of K2Mo3O10, computed with PBE with a Hubbard U.

Output
offset from the most stable computed form = 123 meV per atom
total energy = -6.497 eV/atom
volume = 484 Å³/cell
M_tot = 0.000 Bohr magnetons per cell
SG = No. 12

The structure in extended XYZ format:
```
30
Lattice="-2.2049 4.0678 -3.7967 5.7400 -3.2743 -6.8417 -7.0737 -6.3073 2.0682" Properties=species:S:1:pos:R:3 pbc="T T T"
O -3.8715 -4.7674 -7.5772
O -2.4183 -5.7230 -2.1398
O -1.1592 -2.9375 -7.1918
O -2.3794 -2.5763 -1.3784
O -4.6393 -1.1198 -0.8642
O -5.7883 -1.8232 -3.3095
O 2.2496 -3.6906 -5.2607
O -5.8729 -4.5354 1.1380
O -7.0817 -2.3052 -0.9435
O 2.3342 -0.9784 -9.7082
O 2.4286 -0.8228 -4.1809
O 3.5431 -3.2086 -7.6267
O -2.7758 -6.8147 -5.6892
O -1.1203 0.2092 -6.4304
O -0.7628 1.3009 -2.8810
O 0.0889 -2.0218 -4.3481
O 1.1065 1.6163 -6.4574
O -3.6276 -3.4921 -4.2221
O 0.3329 -0.7464 -0.9930
O -3.5368 -3.1536 1.0341
Mo -0.5831 -3.8759 -8.5318
Mo -1.6601 3.0627 -2.8586
Mo -5.2039 -2.8498 -4.7488
Mo -1.8785 -8.5765 -5.7116
Mo 1.6653 -2.6640 -3.8214
Mo -2.9556 -1.6379 -0.0384
K -1.2771 -4.6811 -4.2737
K -5.1091 -4.4678 -1.8197
K 1.5705 -1.0460 -6.7505
K -2.2616 -0.8328 -4.2965
```

Record 2
A relaxed structure of KMoO4, computed with PBE with a Hubbard U.

Output
offset from the most stable computed form = 10 meV per atom
total energy = -6.103 eV/atom
volume = 422 Å³/cell
M_tot = 4.066 Bohr magnetons per cell
SG = No. 2

The structure in extended XYZ format:
```
24
Lattice="7.6863 -0.5046 0.1273 1.1366 7.2499 -3.1046 -4.1168 0.0296 7.5227" Properties=species:S:1:pos:R:3 pbc="T T T"
O 4.2956 1.9407 0.6738
O 0.4106 4.8342 3.8716
O -0.6601 0.8326 1.9280
O 2.0450 2.9798 -0.6683
O 0.6750 2.0220 4.2099
O 2.6612 3.7950 5.2138
O 4.8120 1.4061 4.1699
O 2.9469 0.3285 3.8074
O 2.9239 6.9997 -1.8359
O 4.0312 4.7529 0.3356
O -0.1058 5.3688 0.3756
O 2.9231 4.3894 2.4817
O 5.3663 5.9423 2.6175
O 1.7592 6.4463 0.7380
O 1.7831 2.3854 2.0637
O 1.7823 -0.2248 6.3814
Mo 3.7681 6.2258 1.9512
Mo 3.0906 3.2140 0.7413
Mo 0.9380 0.5490 2.5942
Mo 1.6156 3.5609 3.8042
K 5.7165 6.4141 -1.3208
K 6.9401 2.1044 -0.0932
K -1.0104 0.3608 5.8663
K -2.2339 4.6705 4.6386
```